(1)
{"formula": "Cs2ZrNp2Se6", "functional": "PBE-GGA", "state": "relaxed", "final_energy_ev_per_fu": -71.24, "mass_density_g_cm3": 5.73, "formation_energy_uncorrected_ev_per_atom": -1.29, "dos_at_fermi_per_ev_atom": 2.01, "lattice": [[3.572, -6.152, 0.000], [3.572, 6.152, 0.000], [-2.410, 0.000, 8.604]], "species": ["Cs", "Cs", "Zr", "Np", "Np", "Se", "Se", "Se", "Se", "Se", "Se"], "frac_coords": [[0.168, 0.832, 0.000], [0.832, 0.168, 0.000], [0.000, 0.000, 0.500], [0.333, 0.667, 0.500], [0.667, 0.333, 0.500], [0.063, 0.381, 0.682], [0.258, 0.258, 0.318], [0.381, 0.063, 0.682], [0.619, 0.937, 0.318], [0.742, 0.742, 0.682], [0.937, 0.619, 0.318]]}

(2)
{"formula": "Cs3SmNp3Te8", "functional": "PBE-GGA", "state": "relaxed", "final_energy_ev_per_fu": -85.98, "mass_density_g_cm3": 5.85, "formation_energy_uncorrected_ev_per_atom": -0.98, "dos_at_fermi_per_ev_atom": 1.70, "lattice": [[7.871, -4.544, 0.000], [7.871, 4.544, 0.000], [-5.254, 0.000, 9.050]], "species": ["Cs", "Cs", "Cs", "Sm", "Np", "Np", "Np", "Te", "Te", "Te", "Te", "Te", "Te", "Te", "Te"], "frac_coords": [[0.000, 0.000, 0.000], [0.000, 0.500, 0.000], [0.500, 0.000, 0.000], [0.000, 0.000, 0.500], [0.000, 0.500, 0.500], [0.500, 0.000, 0.500], [0.500, 0.500, 0.500], [0.233, 0.233, 0.689], [0.233, 0.724, 0.689], [0.270, 0.270, 0.312], [0.276, 0.767, 0.311], [0.724, 0.233, 0.689], [0.730, 0.730, 0.688], [0.767, 0.276, 0.311], [0.767, 0.767, 0.311]]}

(3)
{"formula": "Cs3NpSn2Te6", "functional": "PBE-GGA", "state": "relaxed", "final_energy_ev_per_fu": -50.74, "mass_density_g_cm3": 5.47, "formation_energy_uncorrected_ev_per_atom": -0.70, "dos_at_fermi_per_ev_atom": 0.84, "lattice": [[4.061, -7.024, 0.000], [4.061, 7.024, 0.000], [-2.688, 0.000, 8.726]], "species": ["Cs", "Cs", "Cs", "Np", "Sn", "Sn", "Te", "Te", "Te", "Te", "Te", "Te"], "frac_coords": [[0.000, 0.000, 0.000], [0.326, 0.674, 0.000], [0.674, 0.326, 0.000], [0.500, 0.500, 0.500], [0.166, 0.834, 0.500], [0.834, 0.166, 0.500], [0.122, 0.439, 0.315], [0.247, 0.247, 0.688], [0.439, 0.122, 0.315], [0.561, 0.878, 0.685], [0.753, 0.753, 0.312], [0.878, 0.561, 0.685]]}